## MnCrO4 (PBE+U)

Data for crystalline MnCrO4 at its relaxed geometry.

a b c (Å): 5.6140 8.4370 8.2038
angles (deg): 90.00 124.92 90.00
Space group P2_1/c (No. 14)
Unique sites:
1 Mn 0.1584 0.0579 0.3841
2 Cr 0.3478 0.6874 0.6178
3 O 0.1440 0.6447 0.0599
4 O 0.1800 0.5680 0.4241
5 O 0.3320 0.2378 0.8301
6 O 0.4026 0.5943 0.8208

Computed properties:
Calculated total energy in eV per atom: -7.21